DFT (PBE) results for a geometry-optimized NaLaPr2 structure.

Cell: 3.638 3.638 13.296 Å, 82.14 82.14 60.00°
Fractional coordinates of all 4 atoms:
1 La 0.500 0.500 0.500
2 Pr 0.909 0.909 0.273
3 Pr 0.091 0.091 0.727
4 Na 0.000 0.000 0.000

Its space-group type is R-3m, No. 166. As for the calculated total energy: -3.817 eV/atom. For the formation energy, the calculation gives 0.13 eV per atom. For the total magnetization, the calculation gives 0.000 μB per formula unit. The value obtained for the energy above the lowest structure with this stoichiometry is 3.8 kJ/mol of atoms.


DFT (PBE) results for a geometry-optimized ScUGe2 structure.

Cell: 2.904 5.261 5.261 Å, 90.00 90.00 90.00°
Each line ends with the local moment (μB).
Fractional coordinates of all 4 atoms:
1 U 0.500 0.000 0.000  2.15
2 Ge 0.000 0.500 0.000  -0.05
3 Ge 0.000 0.000 0.500  -0.05
4 Sc 0.500 0.500 0.500  0.26

Its space-group type is P4/mmm, No. 123. As for the calculated total energy: -7.111 eV/atom. For the formation energy, the calculation gives -0.40 eV per atom. For the total magnetization, the calculation gives 2.522 μB per formula unit. The value obtained for the energy above the lowest structure with this stoichiometry is 0.0 kJ/mol of atoms.